# 1
The following is a meta-GGA SCAN calculation of Y5Sc at its PBEsol-relaxed geometry, from Alexandria.

abc: 4.891 4.891 7.725
angles: 90.00 108.45 90.00
Sites, in units of the cell vectors:
Y1 0.836 0.000 0.673
Y2 0.665 0.500 0.330
Y3 0.000 0.500 0.000
Y4 0.164 0.000 0.327
Y5 0.335 0.500 0.670
Sc1 0.500 0.000 0.000

Output
**Space group**: Cmmm, No. 65
**ΔE_f**: 76.3 meV per atom
**E**: -25.50 eV/atom
**Total magnetic moment**: 0.00 μB/atom

# 2
The following is a meta-GGA SCAN calculation of Y2ScZn at its PBEsol-relaxed geometry, from Alexandria.

abc: 3.467 3.467 8.174
angles: 90.00 90.00 90.00
Sites, in units of the cell vectors:
Y1 0.000 0.000 0.783
Y2 0.000 0.000 0.217
Sc1 0.500 0.500 0.500
Zn1 0.500 0.500 0.000

Output
**Space group**: P4/mmm, No. 123
**ΔE_f**: -190.4 meV per atom
**E**: -21.05 eV/atom
**Total magnetic moment**: 0.31 μB/atom

# 3
The following is a meta-GGA SCAN calculation of YScZn3 at its PBEsol-relaxed geometry, from Alexandria.

abc: 4.865 4.865 4.865
angles: 90.00 90.00 90.00
Sites, in units of the cell vectors:
Zn1 0.000 0.500 0.000
Zn2 0.000 0.000 0.500
Zn3 0.500 0.000 0.000
Y1 0.500 0.500 0.500
Sc1 0.000 0.000 0.000

Output
**Space group**: Pm-3m, No. 221
**ΔE_f**: 358.4 meV per atom
**E**: -16.17 eV/atom
**Total magnetic moment**: 0.00 μB/atom

# 4
The following is a meta-GGA SCAN calculation of Y4ScZn at its PBEsol-relaxed geometry, from Alexandria.

abc: 6.192 6.192 6.192
angles: 60.00 60.00 60.00
Sites, in units of the cell vectors:
Sc1 0.000 0.000 0.000
Y1 0.876 0.375 0.375
Y2 0.375 0.375 0.375
Y3 0.375 0.876 0.375
Y4 0.375 0.375 0.876
Zn1 0.750 0.750 0.750

Output
**Space group**: F-43m, No. 216
**ΔE_f**: 432.5 meV per atom
**E**: -22.75 eV/atom
**Total magnetic moment**: 0.00 μB/atom